(1)
Material: KCd2Au2
Method: DFT, GGA-PBE
State: optimized geometry

polymorph energy (0 for the lowest one)	0.000	eV per atom
space group	I4/mmm (139)

```
5
Lattice="-2.358 2.358 6.007 2.358 -2.358 6.007 2.358 2.358 -6.007" Properties=species:S:1:pos:R:3 pbc="T T T"
K 0.000 0.000 0.000
Cd 2.358 0.000 3.003
Cd 0.000 2.358 3.003
Au 0.000 0.000 4.629
Au 0.000 0.000 7.385
```


(2)
Material: MgCu2SnTe4
Method: DFT, GGA-PBE
State: optimized geometry

polymorph energy (0 for the lowest one)	0.008	eV per atom
space group	Pmn2_1 (31)

```
16
Lattice="8.829 0.000 0.000 0.000 7.604 0.000 0.000 0.000 7.230" Properties=species:S:1:pos:R:3 pbc="T T T"
Mg 0.000 1.284 0.000
Mg 4.414 6.320 3.615
Cu 2.210 2.482 3.603
Cu 2.204 5.122 7.218
Cu 6.618 2.482 3.603
Cu 6.625 5.122 7.218
Sn 0.000 6.310 3.603
Sn 4.414 1.294 7.218
Te 0.000 1.401 4.419
Te 0.000 6.195 0.780
Te 2.205 2.713 1.011
Te 2.209 4.890 4.626
Te 4.414 1.409 4.394
Te 4.414 6.203 0.804
Te 6.624 2.713 1.011
Te 6.620 4.890 4.626
```


(3)
Material: Er2Tm2Lu3Ni2Te2
Method: DFT, GGA-PBE
State: optimized geometry

M_tot	0.0	μB per cell
polymorph energy (0 for the lowest one)	0.000	eV per atom
space group	Imm2 (44)

```
11
Lattice="-1.901 7.644 4.714 1.901 -7.644 4.714 1.901 7.644 -4.714" Properties=species:S:1:pos:R:3 pbc="T T T"
Er 0.000 2.238 0.000
Er 0.000 13.049 0.000
Tm 0.000 5.584 1.382
Tm 0.000 9.703 1.382
Lu 1.901 4.815 -1.399
Lu 1.901 0.000 2.154
Lu 0.000 2.829 3.315
Ni 1.901 3.613 1.508
Ni 0.000 4.031 6.222
Te 0.000 0.000 4.664
Te 0.000 7.644 3.676
```


(4)
Material: Nd2Y2CIBr2Cl2
Method: DFT, GGA-PBE
State: optimized geometry

M_tot	0.4	μB per cell
polymorph energy (0 for the lowest one)	0.010	eV per atom
space group	C2/m (12)

```
10
Lattice="8.776 -1.943 0.000 8.776 1.943 0.000 -2.191 0.000 8.251" Properties=species:S:1:pos:R:3 pbc="T T T"
Nd 2.420 0.000 0.642
Nd 12.941 0.000 7.609
Y 8.347 0.000 1.579
Y 7.014 0.000 6.672
C 0.000 0.000 0.000
I -1.095 0.000 4.125
Br 4.402 0.000 5.403
Br 10.959 0.000 2.848
Cl 5.525 0.000 1.312
Cl 9.836 0.000 6.939
```


(5)
Material: Er8In3Co
Method: DFT, GGA-PBE
State: optimized geometry

M_tot	0.0	μB per cell
space group	P6_3mc (186)

```
24
Lattice="10.275 0.000 0.000 -5.138 8.899 0.000 0.000 0.000 6.945" Properties=species:S:1:pos:R:3 pbc="T T T"
Er 0.000 0.000 0.000
Er 0.000 0.000 3.472
Er -2.041 4.754 3.390
Er 0.000 3.175 5.415
Er -2.388 7.311 5.415
Er 0.000 5.933 0.675
Er 2.750 1.588 1.942
Er 2.041 4.754 3.390
Er 0.000 8.289 3.390
Er 5.138 0.609 6.862
Er 3.097 4.145 6.862
Er 2.388 7.311 5.415
Er 5.138 2.966 4.147
Er 7.526 1.588 1.942
Er 5.138 5.723 1.942
Er 7.179 4.145 6.862
In 0.000 2.902 1.682
In -2.625 7.448 1.682
In 2.513 1.451 5.154
In 2.625 7.448 1.682
In 7.762 1.451 5.154
In 5.138 5.997 5.154
Co 0.000 5.933 4.926
Co 5.138 2.966 1.454
```


(6)
Material: Fe2Mo
Method: DFT, GGA-PBE
State: optimized geometry

M_tot	9.7	μB per cell
space group	Fd-3m (227)

```
6
Lattice="0.000 5.198 5.198 5.198 0.000 5.198 5.198 5.198 0.000" Properties=species:S:1:pos:R:3 pbc="T T T"
Fe 0.000 0.000 0.000
Fe 2.599 2.599 0.000
Fe 2.599 0.000 2.599
Fe 0.000 2.599 2.599
Mo 1.299 1.299 1.299
Mo 9.096 9.096 9.096
```


(7)
Material: Lu2CoPb2
Method: DFT, GGA-PBE
State: optimized geometry

M_tot	0.0	μB per cell
space group	C2/m (12)

```
10
Lattice="5.426 -2.198 0.000 5.426 2.198 0.000 -4.967 0.000 9.847" Properties=species:S:1:pos:R:3 pbc="T T T"
Lu -0.732 0.000 1.699
Lu -1.147 0.000 6.246
Lu 7.032 0.000 3.601
Lu 6.617 0.000 8.148
Co 2.104 0.000 1.778
Co 3.782 0.000 8.069
Pb -1.060 0.000 9.372
Pb 1.957 0.000 6.094
Pb 3.929 0.000 3.754
Pb 6.946 0.000 0.476
```


(8)
Material: Er2SiGeOs
Method: DFT, GGA-PBE
State: optimized geometry

M_tot	0.0	μB per cell
polymorph energy (0 for the lowest one)	0.111	eV per atom
space group	C2/m (12)

```
10
Lattice="5.334 -2.138 0.000 5.334 2.138 0.000 -4.716 0.000 8.740" Properties=species:S:1:pos:R:3 pbc="T T T"
Er -0.791 0.000 1.570
Er -0.918 0.000 5.323
Er 6.871 0.000 3.417
Er 6.744 0.000 7.170
Si 2.349 0.000 5.449
Si 3.604 0.000 3.291
Ge -0.601 0.000 8.191
Ge 6.553 0.000 0.549
Os 2.279 0.000 1.182
Os 3.674 0.000 7.558
```


(9)
Material: PmYNO
Method: DFT, GGA-PBE
State: optimized geometry

M_tot	0.0	μB per cell
polymorph energy (0 for the lowest one)	0.000	eV per atom
space group	P4/mmm (123)

```
4
Lattice="3.515 0.000 0.000 0.000 3.515 0.000 0.000 0.000 4.897" Properties=species:S:1:pos:R:3 pbc="T T T"
Pm 0.000 0.000 0.000
Y 1.758 1.758 2.448
N 1.758 1.758 0.000
O 0.000 0.000 2.448
```


(10)
Material: NaOsAu3S4
Method: DFT, GGA-PBE
State: optimized geometry

M_tot	0.0	μB per cell
space group	P-43m (215)

```
9
Lattice="6.145 0.000 0.000 0.000 6.145 0.000 0.000 0.000 6.145" Properties=species:S:1:pos:R:3 pbc="T T T"
Na 0.000 0.000 0.000
Os 3.073 3.073 3.073
Au 0.000 3.073 3.073
Au 3.073 0.000 3.073
Au 3.073 3.073 0.000
S 1.751 1.751 1.751
S 1.751 4.394 4.394
S 4.394 1.751 4.394
S 4.394 4.394 1.751
```


(11)
Material: BaScHgAu
Method: DFT, GGA-PBE
State: optimized geometry

M_tot	0.0	μB per cell
polymorph energy (0 for the lowest one)	0.000	eV per atom
space group	F-43m (216)

```
4
Lattice="0.000 3.788 3.788 3.788 0.000 3.788 3.788 3.788 0.000" Properties=species:S:1:pos:R:3 pbc="T T T"
Ba 0.000 0.000 0.000
Sc 3.788 3.788 3.788
Hg 1.894 1.894 1.894
Au 5.682 5.682 5.682
```


(12)
Material: PuAlIn
Method: DFT, GGA-PBE
State: optimized geometry

M_tot	5.9	μB per cell
space group	F-43m (216)

```
3
Lattice="0.000 3.448 3.448 3.448 0.000 3.448 3.448 3.448 0.000" Properties=species:S:1:pos:R:3 pbc="T T T"
Pu 0.000 0.000 0.000
Al 3.448 3.448 3.448
In 5.171 5.171 5.171
```


Per-record calculated density, g/cm3: 8.2, 5.3, 9.5, 4.9, 9.1, 2.5, 11.6, 10.4, 7.2, 6.7, 8.9, 7.8
Per-record calculated total energy, eV/atom: -2.15, -3.50, -5.14, -5.50, -4.68, -6.09, -4.98, -6.78, -8.32, -4.19, -3.27, -6.79